Entry 1:
## RbZrNpO6 (GGA-PBE)

Data for a relaxed RbZrNpO6 crystal.

The structure belongs to space group Imma (No. 74); the cell edges are 7.615, 7.986 and 10.934 Å and the angles 90.00°, 90.00° and 90.00°. Symmetry generates all atoms from Rb at (0.000, 0.250, 0.096), Zr at (0.250, 0.250, 0.750), Np at (0.000, 0.000, 0.500), O at (0.000, 0.250, 0.435), O at (0.000, 0.250, 0.819) and O at (0.185, 0.056, 0.620).

The calculation puts the size of the total moment at 0.00 Bohr magnetons per cell.

Entry 2:
## Np2ReO8 (GGA-PBE)

Data for a relaxed Np2ReO8 crystal.

The structure belongs to space group C2/m (No. 12); the cell edges are 12.673, 3.389 and 7.339 Å and the angles 90.00°, 103.27° and 90.00°. Symmetry generates all atoms from Np at (0.221, 0.000, 0.208), Re at (0.000, 0.000, 0.500), O at (0.070, 0.000, 0.304), O at (0.085, 0.500, 0.613), O at (0.174, 0.500, 0.022) and O at (0.246, 0.000, 0.633).

The calculation puts the size of the total moment at 9.96 Bohr magnetons per cell.

Entry 3:
## NpTlRe2O8 (GGA-PBE)

Data for a relaxed NpTlRe2O8 crystal.

The structure belongs to space group P-3 (No. 147); the cell edges are 6.0834, 6.0834 and 7.7759 Å and the angles 90.00°, 90.00° and 120.00°. Symmetry generates all atoms from Np at (0.0000, 0.0000, 0.0000), Tl at (0.0000, 0.0000, 0.5000), Re at (0.3333, 0.6667, 0.2580), O at (0.1663, 0.3411, 0.1754) and O at (0.3333, 0.6667, 0.4846).

The calculation puts the size of the total moment at 6.05 Bohr magnetons per cell.

Entry 4:
## NpRhO6 (GGA-PBE)

Data for a relaxed NpRhO6 crystal.

The structure belongs to space group C2/c (No. 15); the cell edges are 9.538, 5.841 and 7.583 Å and the angles 90.00°, 99.50° and 90.00°. Symmetry generates all atoms from Np at (0.000, 0.031, 0.250), Rh at (0.250, 0.250, 0.000), O at (0.099, 0.295, 0.151), O at (0.127, 0.270, 0.772) and O at (0.145, 0.054, 0.482).

The calculation puts the size of the total moment at 3.66 Bohr magnetons per cell.

Number 1: ΔE_f (raw) -2.68 eV per atom. Number 2: ΔE_f (raw) -2.18 eV per atom. Number 3: ΔE_f (raw) -1.70 eV per atom. Number 4: ΔE_f (raw) -1.29 eV per atom.